A relaxed structure of LiMg2Pb. Source: the Alexandria database, functional GGA-PBEsol.

```
LiMg2Pb
1.0
-2.131 -1.898 2.265
3.162 -0.950 2.179
-0.855 5.091 3.462
Li Mg Pb
1 2 1
Direct
0.500 0.500 0.500 Li
0.000 0.000 0.742 Mg
0.000 0.000 0.258 Mg
0.500 0.500 0.000 Pb
```

Properties
As for the total energy: -0.181 Ry/atom. The value obtained for the formation energy is -114 meV per atom. The volume is 89.6 Å³/cell.

***

A relaxed structure of MgAgTe. Source: the Alexandria database, functional GGA-PBEsol.

```
MgAgTe
1.0
-1.001 0.652 -3.293
2.559 -2.308 0.629
-4.314 -4.678 0.384
Mg Te Ag
1 1 1
Direct
0.333 0.667 0.685 Mg
0.667 0.333 0.329 Te
0.000 0.000 0.986 Ag
```

Properties
As for the total energy: -0.214 Ry/atom. The value obtained for the uncorrected formation energy is -0.064 eV/atom. The volume is 67.8 Å³/cell. The calculation puts the energy above the most stable polymorph in this dataset at 82 meV per atom.

***

A relaxed structure of KCa2Ir. Source: the Alexandria database, functional GGA-PBEsol.

```
KCa2Ir
1.0
3.552 0.000 0.000
0.000 4.462 -0.003
0.000 -2.226 8.816
Ir Ca K
1 2 1
Direct
0.000 0.124 0.373 Ir
0.500 0.614 0.352 Ca
0.000 0.977 0.079 Ca
0.500 0.286 0.696 K
```

Properties
As for the total energy: -0.269 Ry/atom. The value obtained for the formation energy is 149 meV per atom. The volume is 139.7 Å³/cell. The calculation puts the energy above the most stable polymorph in this dataset at 64 meV per atom.

***

A relaxed structure of Dy4Te7. Source: the Alexandria database, functional GGA-PBEsol.

```
Dy4Te7
1.0
-4.024 0.963 -1.115
0.722 -1.538 -3.933
-5.194 -15.701 5.186
Te Dy
7 4
Direct
0.000 0.000 0.000 Te
0.500 0.000 0.690 Te
0.000 0.500 0.820 Te
0.000 0.500 0.310 Te
0.500 0.000 0.180 Te
0.500 0.500 0.500 Te
0.000 0.000 0.500 Te
0.500 0.000 0.872 Dy
0.000 0.500 0.639 Dy
0.500 0.000 0.361 Dy
0.000 0.500 0.128 Dy
```

Properties
As for the total energy: -0.391 Ry/atom. The value obtained for the uncorrected formation energy is -1.269 eV/atom. The volume is 318.2 Å³/cell.

***

A relaxed structure of AgPt2. Source: the Alexandria database, functional GGA-PBEsol.

```
AgPt2
1.0
5.546 0.000 0.000
-2.773 4.803 0.000
0.000 0.000 6.913
Pt Ag
8 4
Direct
0.333 0.667 0.350 Pt
0.669 0.835 0.668 Pt
0.000 0.000 0.991 Pt
0.836 0.671 0.329 Pt
0.165 0.331 0.668 Pt
0.329 0.164 0.329 Pt
0.165 0.835 0.668 Pt
0.836 0.164 0.329 Pt
0.667 0.333 0.663 Ag
0.499 0.501 0.002 Ag
0.499 0.998 0.002 Ag
0.002 0.501 0.002 Ag
```

Properties
As for the total energy: -0.423 Ry/atom. The value obtained for the formation energy is -3 meV per atom. The volume is 184.1 Å³/cell. The calculation puts the energy above the most stable polymorph in this dataset at 0 meV per atom.

***

A relaxed structure of InFeBi2As. Source: the Alexandria database, functional GGA-PBEsol.

```
InFeBi2As
1.0
4.349 0.000 0.000
0.000 5.663 0.000
0.000 0.000 5.663
Bi As In Fe
2 1 1 1
Direct
0.000 0.500 0.000 Bi
0.000 0.000 0.500 Bi
0.000 0.000 0.000 As
0.500 0.500 0.500 In
0.500 0.000 0.000 Fe
```

Properties
As for the total energy: -0.335 Ry/atom. The value obtained for the formation energy is 566 meV per atom. The volume is 139.5 Å³/cell.

***

A relaxed structure of Re3NCl. Source: the Alexandria database, functional GGA-PBEsol.

```
Re3NCl
1.0
4.270 0.000 0.000
0.000 4.270 0.000
0.000 0.000 4.270
Re N Cl
3 1 1
Direct
0.500 0.000 0.000 Re
0.000 0.000 0.500 Re
0.000 0.500 0.000 Re
0.500 0.500 0.500 N
0.000 0.000 0.000 Cl
```

Properties
As for the total energy: -0.526 Ry/atom. The value obtained for the uncorrected formation energy is 2.945 eV/atom. The volume is 77.8 Å³/cell.

***

A relaxed structure of CaIr2Pt. Source: the Alexandria database, functional GGA-PBEsol.

```
CaIr2Pt
1.0
2.824 0.000 0.000
1.412 2.446 0.000
1.412 0.815 9.274
Ir Ca Pt
2 1 1
Direct
0.754 0.754 0.737 Ir
0.246 0.246 0.263 Ir
0.000 0.000 0.000 Ca
0.500 0.500 0.500 Pt
```

Properties
As for the total energy: -0.507 Ry/atom. The value obtained for the formation energy is 288 meV per atom. The volume is 64.1 Å³/cell. The calculation puts the energy above the most stable polymorph in this dataset at 379 meV per atom.

***

A relaxed structure of YSiTe2. Source: the Alexandria database, functional GGA-PBEsol.

```
YSiTe2
1.0
-1.563 2.193 -3.302
-0.489 -1.902 -3.782
-7.352 -1.868 -0.510
Si Te Y
1 2 1
Direct
0.257 0.257 0.230 Si
0.970 0.970 0.091 Te
0.764 0.764 0.709 Te
0.510 0.510 0.470 Y
```

Properties
As for the total energy: -0.394 Ry/atom. The value obtained for the uncorrected formation energy is -0.449 eV/atom. The volume is 113.1 Å³/cell.

***

A relaxed structure of KAs3H. Source: the Alexandria database, functional GGA-PBEsol.

```
KAs3H
1.0
5.478 0.000 0.000
0.000 5.478 0.000
0.000 0.000 5.478
H K As
1 1 3
Direct
0.500 0.500 0.500 H
0.000 0.000 0.000 K
0.000 0.000 0.500 As
0.500 0.000 0.000 As
0.000 0.500 0.000 As
```

Properties
As for the total energy: -0.137 Ry/atom. The volume is 164.3 Å³/cell.

***

A relaxed structure of Ca3CdTc. Source: the Alexandria database, functional GGA-PBEsol.

```
Ca3CdTc
1.0
5.638 0.000 0.000
0.000 5.638 0.000
0.000 0.000 5.638
Ca Cd Tc
3 1 1
Direct
0.000 0.500 0.000 Ca
0.500 0.000 0.000 Ca
0.000 0.000 0.500 Ca
0.000 0.000 0.000 Cd
0.500 0.500 0.500 Tc
```

Properties
As for the total energy: -0.199 Ry/atom. The value obtained for the formation energy is 1061 meV per atom. The volume is 179.2 Å³/cell.

***

A relaxed structure of Rb2TmCl5. Source: the Alexandria database, functional GGA-PBEsol.

```
Rb2TmCl5
1.0
7.186 0.000 0.000
0.000 9.265 0.000
0.000 0.000 14.529
Rb Cl Tm
8 20 4
Direct
0.250 0.670 0.086 Rb
0.750 0.532 0.292 Rb
0.250 0.468 0.708 Rb
0.750 0.330 0.914 Rb
0.250 0.170 0.414 Rb
0.750 0.032 0.208 Rb
0.250 0.968 0.792 Rb
0.750 0.830 0.586 Rb
0.250 0.782 0.604 Cl
0.490 0.651 0.887 Cl
0.990 0.849 0.387 Cl
0.990 0.349 0.113 Cl
0.510 0.349 0.113 Cl
0.250 0.531 0.294 Cl
0.000 0.000 0.000 Cl
0.750 0.969 0.794 Cl
0.500 0.000 0.000 Cl
0.510 0.849 0.387 Cl
0.490 0.151 0.613 Cl
0.750 0.218 0.396 Cl
0.250 0.282 0.896 Cl
0.000 0.500 0.500 Cl
0.010 0.651 0.887 Cl
0.750 0.718 0.104 Cl
0.010 0.151 0.613 Cl
0.500 0.500 0.500 Cl
0.250 0.031 0.206 Cl
0.750 0.469 0.706 Cl
0.750 0.312 0.563 Tm
0.750 0.812 0.937 Tm
0.250 0.188 0.063 Tm
0.250 0.688 0.437 Tm
```

Properties
As for the total energy: -0.315 Ry/atom. The value obtained for the uncorrected formation energy is -2.157 eV/atom. The volume is 967.4 Å³/cell.